Here is an optimized crystal structure of Ti3TcBr from the Alexandria database. Energies are from PBE.

Output
For the relative energy among the computed polymorphs, the calculation gives 0.000 eV per atom. For the uncorrected formation energy, the calculation gives 2.7 eV/f.u. As for the total moment: 0.00 μB/cell. Its density of states at the Fermi level is 4.22 states/eV/f.u.

Cell and atoms, written as CIF:
```
data_Ti3TcBr
_chemical_formula_sum 'Ti3 Tc1 Br1'
_cell_length_a 4.7885
_cell_length_b 4.7885
_cell_length_c 4.7885
_cell_angle_alpha 90.00
_cell_angle_beta 90.00
_cell_angle_gamma 90.00
_space_group_name_H-M_alt 'P m -3 m'
_space_group_IT_number 221
_space_group_name_Hall '-P 4 2 3'
loop_
_atom_site_label
_atom_site_type_symbol
_atom_site_fract_x
_atom_site_fract_y
_atom_site_fract_z
_atom_site_occupancy
Ti1 Ti 0.0000 0.0000 0.5000 1
Tc1 Tc 0.0000 0.0000 0.0000 1
Br1 Br 0.5000 0.5000 0.5000 1
```